Here is a relaxed structure of HfFeCo2 from Alexandria via LeMat-Bulk. Energies are from PBE.

Output
SG: R-3m (166)
ΔE_f, eV per atom: -0.29
Total energy, eV per cell: -101.4

Unit cell a=8.282 b=8.282 c=8.282 alpha=34.18 beta=34.18 gamma=34.18
Fractional coordinates of all 12 atoms:
1 Hf 0.000 0.000 0.000
2 Hf 0.139 0.139 0.139
3 Hf 0.861 0.861 0.861
4 Fe 0.335 0.335 0.335
5 Fe 0.500 0.500 0.500
6 Fe 0.665 0.665 0.665
7 Co 0.078 0.587 0.587
8 Co 0.413 0.413 0.922
9 Co 0.413 0.922 0.413
10 Co 0.587 0.078 0.587
11 Co 0.587 0.587 0.078
12 Co 0.922 0.413 0.413

Here is a relaxed structure of MnH2 from Alexandria via LeMat-Bulk. Energies are from PBE.

Output
SG: Cm (8)
Total energy, eV per cell: -30.6

Unit cell a=4.745 b=2.800 c=3.121 alpha=90.00 beta=121.17 gamma=90.00
Fractional coordinates of all 6 atoms:
1 Mn 0.000 0.000 0.000
2 Mn 0.500 0.500 0.000
3 H 0.219 0.000 0.653
4 H 0.438 0.000 0.296
5 H 0.719 0.500 0.653
6 H 0.938 0.500 0.296

Here is a relaxed structure of CsBa4Hg5 from Alexandria via LeMat-Bulk. Energies are from PBE.

Output
SG: P4/mmm (123)
ΔE_f, eV per atom: -0.44
Total energy, eV per cell: -14.5

Unit cell a=4.241 b=4.241 c=21.785 alpha=90.00 beta=90.00 gamma=90.00
Fractional coordinates of all 10 atoms:
1 Cs 0.000 0.000 0.000
2 Ba 0.000 0.000 0.211
3 Ba 0.000 0.000 0.404
4 Ba 0.000 0.000 0.596
5 Ba 0.000 0.000 0.789
6 Hg 0.500 0.500 0.123
7 Hg 0.500 0.500 0.307
8 Hg 0.500 0.500 0.500
9 Hg 0.500 0.500 0.693
10 Hg 0.500 0.500 0.877

Here is a relaxed structure of K3HF from Alexandria via LeMat-Bulk. Energies are from PBE.

Output
SG: Pm-3m (221)
Total energy, eV per cell: -12.7
Relative energy among the computed polymorphs, meV per atom: 0

Unit cell a=5.397 b=5.397 c=5.397 alpha=90.00 beta=90.00 gamma=90.00
Fractional coordinates of all 5 atoms:
1 K 0.000 0.000 0.500
2 K 0.000 0.500 0.000
3 K 0.500 0.000 0.000
4 H 0.500 0.500 0.500
5 F 0.000 0.000 0.000

Here is a relaxed structure of MgCo3Os from Alexandria via LeMat-Bulk. Energies are from PBE.

Output
SG: Pm-3m (221)
ΔE_f, eV per atom: 1.17
Total energy, eV per cell: -28.3
Relative energy among the computed polymorphs, meV per atom: 0

Unit cell a=4.479 b=4.479 c=4.479 alpha=90.00 beta=90.00 gamma=90.00
Fractional coordinates of all 5 atoms:
1 Mg 0.000 0.000 0.000
2 Co 0.000 0.500 0.500
3 Co 0.500 0.000 0.500
4 Co 0.500 0.500 0.000
5 Os 0.500 0.500 0.500

Here is a relaxed structure of CaMnFe2 from Alexandria via LeMat-Bulk. Energies are from PBE.

Output
SG: P4/mmm (123)
ΔE_f, eV per atom: 0.62
Total energy, eV per cell: -25.6
Relative energy among the computed polymorphs, meV per atom: 270

Unit cell a=3.943 b=3.943 c=4.161 alpha=90.00 beta=90.00 gamma=90.00
Fractional coordinates of all 4 atoms:
1 Ca 0.000 0.000 0.000
2 Mn 0.500 0.500 0.000
3 Fe 0.000 0.500 0.500
4 Fe 0.500 0.000 0.500

Here is a relaxed structure of Er2MnZn2Ni5 from Alexandria via LeMat-Bulk. Energies are from PBE.

Output
SG: P4/mbm (127)
ΔE_f, eV per atom: -0.24
Total energy, eV per cell: -104.3

Unit cell a=9.168 b=9.168 c=3.555 alpha=90.00 beta=90.00 gamma=90.00
Fractional coordinates of all 20 atoms:
1 Er 0.178 0.322 0.000
2 Er 0.322 0.822 0.000
3 Er 0.678 0.178 0.000
4 Er 0.822 0.678 0.000
5 Mn 0.000 0.000 0.000
6 Mn 0.500 0.500 0.000
7 Zn 0.120 0.620 0.000
8 Zn 0.380 0.120 0.000
9 Zn 0.620 0.880 0.000
10 Zn 0.880 0.380 0.000
11 Ni 0.000 0.500 0.500
12 Ni 0.059 0.800 0.500
13 Ni 0.200 0.059 0.500
14 Ni 0.300 0.559 0.500
15 Ni 0.441 0.300 0.500
16 Ni 0.500 0.000 0.500
17 Ni 0.559 0.700 0.500
18 Ni 0.700 0.441 0.500
19 Ni 0.800 0.941 0.500
20 Ni 0.941 0.200 0.500

Here is a relaxed structure of K2TiBiS4 from Alexandria via LeMat-Bulk. Energies are from PBE.

Output
SG: Pmn2_1 (31)
Total energy, eV per cell: -76.3
E_form (uncorrected), meV/atom: -961

Unit cell a=9.182 b=8.608 c=6.512 alpha=90.00 beta=90.00 gamma=90.00
Fractional coordinates of all 16 atoms:
1 K 0.238 0.158 0.000
2 K 0.262 0.842 0.500
3 K 0.738 0.842 0.500
4 K 0.762 0.158 0.000
5 Ti 0.000 0.645 0.055
6 Ti 0.500 0.355 0.555
7 Bi 0.000 0.351 0.485
8 Bi 0.500 0.649 0.985
9 S 0.000 0.397 0.923
10 S 0.000 0.641 0.412
11 S 0.209 0.785 0.985
12 S 0.291 0.215 0.485
13 S 0.500 0.359 0.912
14 S 0.500 0.603 0.423
15 S 0.709 0.215 0.485
16 S 0.791 0.785 0.985

Here is a relaxed structure of PaZn3Pd from Alexandria via LeMat-Bulk. Energies are from PBE.

Output
SG: Pnma (62)
ΔE_f, eV per atom: -0.25
Total energy, eV per cell: -79.0

Unit cell a=8.559 b=3.428 c=12.152 alpha=90.00 beta=90.00 gamma=90.00
Fractional coordinates of all 20 atoms:
1 Pa 0.134 0.250 0.015
2 Pa 0.366 0.750 0.515
3 Pa 0.634 0.250 0.485
4 Pa 0.866 0.750 0.985
5 Zn 0.073 0.250 0.420
6 Zn 0.086 0.750 0.238
7 Zn 0.162 0.750 0.798
8 Zn 0.338 0.250 0.298
9 Zn 0.414 0.250 0.738
10 Zn 0.427 0.750 0.920
11 Zn 0.573 0.250 0.080
12 Zn 0.586 0.750 0.262
13 Zn 0.662 0.750 0.702
14 Zn 0.838 0.250 0.202
15 Zn 0.914 0.250 0.762
16 Zn 0.927 0.750 0.580
17 Pd 0.154 0.250 0.629
18 Pd 0.346 0.750 0.129
19 Pd 0.654 0.250 0.871
20 Pd 0.846 0.750 0.371

Here is a relaxed structure of SrTaP2Ru from Alexandria via LeMat-Bulk. Energies are from PBE.

Output
SG: I-4m2 (119)
ΔE_f, eV per atom: -0.78
Total energy, eV per cell: -75.0

Unit cell a=3.957 b=3.957 c=12.712 alpha=90.00 beta=90.00 gamma=90.00
Fractional coordinates of all 10 atoms:
1 Sr 0.000 0.000 0.000
2 Sr 0.500 0.500 0.500
3 Ta 0.000 0.500 0.750
4 Ta 0.500 0.000 0.250
5 P 0.000 0.000 0.367
6 P 0.000 0.000 0.633
7 P 0.500 0.500 0.133
8 P 0.500 0.500 0.867
9 Ru 0.000 0.500 0.250
10 Ru 0.500 0.000 0.750

Here is a relaxed structure of Hf4IrRh3 from Alexandria via LeMat-Bulk. Energies are from PBE.

Output
SG: C2/m (12)
ΔE_f, eV per atom: -0.89
Total energy, eV per cell: -155.7

Unit cell a=6.504 b=6.469 c=7.418 alpha=90.00 beta=115.91 gamma=90.00
Fractional coordinates of all 16 atoms:
1 Hf 0.125 0.250 0.251
2 Hf 0.125 0.750 0.251
3 Hf 0.375 0.250 0.749
4 Hf 0.375 0.750 0.749
5 Hf 0.625 0.250 0.251
6 Hf 0.625 0.750 0.251
7 Hf 0.875 0.250 0.749
8 Hf 0.875 0.750 0.749
9 Ir 0.000 0.000 0.500
10 Ir 0.500 0.500 0.500
11 Rh 0.000 0.500 0.500
12 Rh 0.243 0.500 0.986
13 Rh 0.257 0.000 0.014
14 Rh 0.500 0.000 0.500
15 Rh 0.743 0.000 0.986
16 Rh 0.757 0.500 0.014

Here is a relaxed structure of Hf3FeIr2 from Alexandria via LeMat-Bulk. Energies are from PBE.

Output
SG: Cmmm (65)
ΔE_f, eV per atom: -0.73
Total energy, eV per cell: -120.9

Unit cell a=7.254 b=7.254 c=6.494 alpha=90.00 beta=90.00 gamma=143.13
Fractional coordinates of all 12 atoms:
1 Hf 0.000 0.000 0.247
2 Hf 0.000 0.000 0.753
3 Hf 0.331 0.669 0.243
4 Hf 0.331 0.669 0.757
5 Hf 0.669 0.331 0.243
6 Hf 0.669 0.331 0.757
7 Fe 0.166 0.834 0.000
8 Fe 0.834 0.166 0.000
9 Ir 0.165 0.835 0.500
10 Ir 0.500 0.500 0.000
11 Ir 0.500 0.500 0.500
12 Ir 0.835 0.165 0.500

Here is a relaxed structure of Ca2CrTcN5 from Alexandria via LeMat-Bulk. Energies are from PBE.

Output
SG: Cmc2_1 (36)
Total energy, eV per cell: -140.9
E_form (uncorrected), meV/atom: -535

Unit cell a=7.230 b=7.230 c=10.064 alpha=90.00 beta=90.00 gamma=154.50
Fractional coordinates of all 18 atoms:
1 Ca 0.118 0.882 0.500
2 Ca 0.134 0.866 0.126
3 Ca 0.866 0.134 0.626
4 Ca 0.882 0.118 0.000
5 Cr 0.443 0.557 0.255
6 Cr 0.557 0.443 0.755
7 Tc 0.217 0.783 0.844
8 Tc 0.783 0.217 0.344
9 N 0.041 0.959 0.839
10 N 0.297 0.703 0.468
11 N 0.321 0.679 0.205
12 N 0.342 0.658 0.821
13 N 0.499 0.501 0.109
14 N 0.501 0.499 0.609
15 N 0.658 0.342 0.321
16 N 0.679 0.321 0.705
17 N 0.703 0.297 0.968
18 N 0.959 0.041 0.339

Here is a relaxed structure of Tb8Y6Sc from Alexandria via LeMat-Bulk. Energies are from PBE.

Output
SG: R-3 (148)
ΔE_f, eV per atom: 0.12
Total energy, eV per cell: -80.4
Relative energy among the computed polymorphs, meV per atom: 0

Unit cell a=8.591 b=8.591 c=8.591 alpha=63.42 beta=63.42 gamma=63.42
Fractional coordinates of all 15 atoms:
1 Tb 0.077 0.077 0.077
2 Tb 0.220 0.610 0.249
3 Tb 0.249 0.220 0.610
4 Tb 0.390 0.751 0.780
5 Tb 0.610 0.249 0.220
6 Tb 0.751 0.780 0.390
7 Tb 0.780 0.390 0.751
8 Tb 0.923 0.923 0.923
9 Y 0.044 0.606 0.730
10 Y 0.270 0.956 0.394
11 Y 0.394 0.270 0.956
12 Y 0.606 0.730 0.044
13 Y 0.730 0.044 0.606
14 Y 0.956 0.394 0.270
15 Sc 0.500 0.500 0.500

Here is a relaxed structure of ZnIrNO2 from Alexandria via LeMat-Bulk. Energies are from PBE.

Output
SG: P4/mmm (123)
Total energy, eV per cell: -22.4
E_form (uncorrected), meV/atom: 1202

Unit cell a=3.767 b=3.767 c=3.870 alpha=90.00 beta=90.00 gamma=90.00
Fractional coordinates of all 5 atoms:
1 Zn 0.000 0.000 0.000
2 Ir 0.500 0.500 0.500
3 N 0.000 0.000 0.500
4 O 0.000 0.500 0.000
5 O 0.500 0.000 0.000

Here is a relaxed structure of CsZn2Pt from Alexandria via LeMat-Bulk. Energies are from PBE.

Output
SG: R-3m (166)
ΔE_f, eV per atom: -0.30
Total energy, eV per cell: -32.0
Relative energy among the computed polymorphs, meV per atom: 0

Unit cell a=4.465 b=4.465 c=19.593 alpha=90.00 beta=90.00 gamma=120.00
Fractional coordinates of all 12 atoms:
1 Cs 0.000 0.000 0.000
2 Cs 0.333 0.667 0.667
3 Cs 0.667 0.333 0.333
4 Zn 0.000 0.000 0.181
5 Zn 0.000 0.000 0.819
6 Zn 0.333 0.667 0.485
7 Zn 0.333 0.667 0.848
8 Zn 0.667 0.333 0.152
9 Zn 0.667 0.333 0.515
10 Pt 0.000 0.000 0.500
11 Pt 0.333 0.667 0.167
12 Pt 0.667 0.333 0.833

no.,V (Å³ per atom)
1,13.32
2,5.91
3,39.17
4,31.45
5,17.97
6,16.17
7,14.94
8,32.17
9,17.83
10,19.90
11,17.55
12,17.09
13,12.58
14,32.15
15,10.99
16,28.19